Arrangement one

A geometry-optimized Li4Mn3NbO8 structure. Source: Alexandria via LeMat-Bulk, functional GGA+U.

The structure in POSCAR format:
```
Li4Mn3NbO8
1.0
5.2320 -3.1030 0.0000
5.2320 3.1030 0.0000
-3.3944 0.0000 5.0631
Li Mn Nb O
4 3 1 8
direct
0.0000 0.0000 0.0000
0.0000 0.5000 0.5000
0.5000 0.0000 0.5000
0.5000 0.5000 0.0000
0.0000 0.0000 0.5000
0.0000 0.5000 0.0000
0.5000 0.0000 0.0000
0.5000 0.5000 0.5000
0.2437 0.2437 0.7779
0.2646 0.2646 0.2721
0.2675 0.7305 0.7365
0.2695 0.7325 0.2635
0.7305 0.2675 0.7365
0.7325 0.2695 0.2635
0.7354 0.7354 0.7279
0.7563 0.7563 0.2221
```

space group = No. 12

Arrangement two

A geometry-optimized Li4Mn3NbO8 structure. Source: Alexandria via LeMat-Bulk, functional GGA+U.

The structure in POSCAR format:
```
Li4Mn3NbO8
1.0
5.1915 -3.1455 0.0000
5.1915 3.1455 0.0000
-3.3327 0.0000 10.1367
Li Mn Nb O
8 6 2 16
direct
0.0221 0.9779 0.5000
0.2520 0.7652 0.7622
0.2600 0.7578 0.2623
0.4957 0.5391 0.0245
0.5391 0.4957 0.5245
0.7578 0.2600 0.7623
0.7652 0.2520 0.2622
0.9779 0.0221 0.0000
0.0054 0.5121 0.5124
0.2588 0.2603 0.7626
0.2603 0.2588 0.2626
0.5121 0.0054 0.0124
0.7578 0.7592 0.7624
0.7592 0.7578 0.2624
0.0183 0.4992 0.0124
0.4992 0.0183 0.5124
0.0927 0.6357 0.3710
0.1219 0.1572 0.8984
0.1358 0.6344 0.9013
0.1572 0.1219 0.3984
0.3601 0.3954 0.1257
0.3806 0.8845 0.6236
0.3954 0.3601 0.6257
0.4257 0.8809 0.1540
0.6254 0.6676 0.3881
0.6344 0.1358 0.4013
0.6357 0.0927 0.8710
0.6676 0.6254 0.8881
0.8502 0.8925 0.6373
0.8809 0.4257 0.6540
0.8845 0.3806 0.1236
0.8925 0.8502 0.1373
```

space group = No. 9

Energetically preferred structure: arrangement two | next structure: +11 meV/atom